The following is a GGA+U calculation of an optimized crystal structure of LiZnNi2F6, from Alexandria via LeMat-Bulk.

Output
- Energy: -40.57 eV for the cell shown

The structure in POSCAR format:
```
LiZnNi2F6
1.0
-2.6745 -4.6937 -0.9687
0.5212 -4.5617 2.8096
-4.0559 -0.8875 3.5293
Zn Ni F Li
1 2 6 1
direct
0.2931 0.3194 0.0609 Zn
0.5153 0.5133 0.4661 Ni
0.0255 0.9931 0.9570 Ni
0.2721 0.9183 0.2110 F
0.4338 0.7469 0.7226 F
0.8949 0.5464 0.3026 F
0.1383 0.4850 0.7122 F
0.7076 0.1094 0.7583 F
0.6076 0.2207 0.2490 F
0.7734 0.8092 0.5755 Li
```